No. 1
Compound: Pm2Sn3Pd2
Source: Alexandria
Functional: PBE-GGA
Structure: relaxed

SG: C2/m (12)
Energy above the most stable polymorph in this dataset: 57.8 meV/atom
Size of the total moment: 0.00 μB per cell
Calculated formation energy: -0.73 eV per atom

a = 5.912 Å, b = 5.912 Å, c = 7.412 Å
α = 111.70°, β = 111.70°, γ = 44.04°
Fractional coordinates of all 7 atoms:
1 Pm 0.149 0.149 0.293
2 Pm 0.851 0.851 0.707
3 Sn 0.381 0.381 0.050
4 Sn 0.500 0.500 0.500
5 Sn 0.619 0.619 0.950
6 Pd 0.145 0.145 0.728
7 Pd 0.855 0.855 0.272


No. 2
Compound: K2CaBe
Source: Alexandria
Functional: PBE-GGA
Structure: relaxed

SG: Pmmm (47)
Size of the total moment: 0.00 μB per cell
Calculated formation energy: 0.72 eV per atom

a = 4.455 Å, b = 4.927 Å, c = 7.562 Å
α = 90.00°, β = 90.00°, γ = 90.00°
Fractional coordinates of all 4 atoms:
1 K 0.000 0.000 0.213
2 K 0.000 0.000 0.787
3 Ca 0.500 0.500 0.500
4 Be 0.500 0.500 0.000


No. 3
Compound: RbMoAu3
Source: Alexandria
Functional: PBE-GGA
Structure: relaxed

SG: Pm-3m (221)
Energy above the most stable polymorph in this dataset: 0.0 meV/atom
Size of the total moment: 0.00 μB per cell
Calculated formation energy: 0.52 eV per atom

a = 5.198 Å, b = 5.198 Å, c = 5.198 Å
α = 90.00°, β = 90.00°, γ = 90.00°
Fractional coordinates of all 5 atoms:
1 Rb 0.000 0.000 0.000
2 Mo 0.500 0.500 0.500
3 Au 0.000 0.500 0.500
4 Au 0.500 0.000 0.500
5 Au 0.500 0.500 0.000